Record 1
Below is crystalline SrTmCo at its relaxed geometry, with properties calculated at the GGA-PBE level.

Computed properties:
Its size of the total moment is 0.0004 μB/atom. The calculation puts the theoretical density at 6.57 Mg/m³. The energy relative to the lowest polymorph listed for this composition comes out at 0.0 meV per atom.

```
data_SrTmCo
_cell_length_a 6.831
_cell_length_b 6.831
_cell_length_c 6.831
_cell_angle_alpha 90.00
_cell_angle_beta 90.00
_cell_angle_gamma 90.00
_space_group_name_H-M_alt 'F -4 3 m'
_space_group_IT_number 216
_space_group_name_Hall 'F -4 2 3'
loop_
_atom_site_label
_atom_site_fract_x
_atom_site_fract_y
_atom_site_fract_z
Sr1 0.000 0.000 0.000
Tm1 0.000 0.000 0.500
Co1 0.250 0.250 0.250
```

Record 2
Below is crystalline CuAs5Au3 at its relaxed geometry, with properties calculated at the GGA-PBE level.

Computed properties:
The calculation puts the theoretical density at 7.86 Mg/m³.

```
data_CuAs5Au3
_cell_length_a 5.2641
_cell_length_b 5.2641
_cell_length_c 9.0613
_cell_angle_alpha 90.00
_cell_angle_beta 90.00
_cell_angle_gamma 120.00
_space_group_name_H-M_alt 'P 6/m m m'
_space_group_IT_number 191
_space_group_name_Hall '-P 6 2'
loop_
_atom_site_label
_atom_site_fract_x
_atom_site_fract_y
_atom_site_fract_z
Cu1 0.0000 0.0000 0.0000
As1 0.0000 0.0000 0.5000
As2 0.3333 0.6667 0.1347
Au1 0.0000 0.5000 0.5000
```

Record 3
Below is crystalline SmCd3Pb4O12 at its relaxed geometry, with properties calculated at the GGA-PBE level.

Computed properties:
Its size of the total moment is 0.0001 μB/atom. The calculation puts the theoretical density at 8.88 Mg/m³.

```
data_SmCd3Pb4O12
_cell_length_a 8.264
_cell_length_b 8.264
_cell_length_c 8.264
_cell_angle_alpha 90.00
_cell_angle_beta 90.00
_cell_angle_gamma 90.00
_space_group_name_H-M_alt 'I m -3'
_space_group_IT_number 204
_space_group_name_Hall '-I 2 2 3'
loop_
_atom_site_label
_atom_site_fract_x
_atom_site_fract_y
_atom_site_fract_z
Sm1 0.000 0.000 0.000
Cd1 0.000 0.000 0.500
Pb1 0.250 0.250 0.250
O1 0.000 0.170 0.288
```

| no. | total energy (eV/atom) |
| --- | --- |
| 1 | -4.104 |
| 2 | -3.566 |
| 3 | -5.261 |